LiTaBi2 | PBE | optimized geometry

Results
As for the density of states at the Fermi level: 1.181 states/eV per atom. For the formation energy from the elements, the calculation gives 0.47 eV/atom. The total energy comes out at -19.658 eV/cell. For the volume, the calculation gives 24.359 Å³/atom.

Lattice parameters (Å, degrees): 10.709 10.709 10.709 17.55 17.55 17.55
Atoms (fractional coordinates):
Li 0.000 0.000 0.000
Ta 0.500 0.500 0.500
Bi 0.407 0.407 0.407
Bi 0.593 0.593 0.593

CaHo4Ga5 | PBE | optimized geometry

Results
As for the density of states at the Fermi level: 0.426 states/eV per atom. For the formation energy from the elements, the calculation gives -0.55 eV/atom. The total energy comes out at -40.953 eV/cell. For the volume, the calculation gives 22.924 Å³/atom.

Lattice parameters (Å, degrees): 3.565 3.565 18.034 90.00 90.00 90.00
Atoms (fractional coordinates):
Ca 0.000 0.000 0.000
Ho 0.000 0.000 0.204
Ho 0.000 0.000 0.402
Ho 0.000 0.000 0.598
Ho 0.000 0.000 0.796
Ga 0.500 0.500 0.107
Ga 0.500 0.500 0.304
Ga 0.500 0.500 0.500
Ga 0.500 0.500 0.696
Ga 0.500 0.500 0.893

AcErCdHg | PBE | optimized geometry

Results
As for the density of states at the Fermi level: 0.978 states/eV per atom. For the formation energy from the elements, the calculation gives -0.37 eV/atom. The total energy comes out at -11.374 eV/cell. For the volume, the calculation gives 29.175 Å³/atom.

Lattice parameters (Å, degrees): 3.820 3.820 7.999 90.00 90.00 90.00
Atoms (fractional coordinates):
Ac 0.000 0.000 0.000
Er 0.000 0.000 0.508
Cd 0.500 0.500 0.286
Hg 0.500 0.500 0.711

TaCo2Ag | PBE | optimized geometry

Results
As for the density of states at the Fermi level: 1.236 states/eV per atom. For the formation energy from the elements, the calculation gives 0.25 eV/atom. The total energy comes out at -27.896 eV/cell. For the volume, the calculation gives 14.314 Å³/atom.

Lattice parameters (Å, degrees): 4.024 5.138 5.138 32.62 90.00 90.00
Atoms (fractional coordinates):
Ta 0.000 0.000 0.000
Co 0.000 0.279 0.279
Co 0.500 0.410 0.410
Ag 0.500 0.676 0.676

TiCu2Pd2 | PBE | optimized geometry

Results
As for the density of states at the Fermi level: 0.688 states/eV per atom. For the formation energy from the elements, the calculation gives -0.18 eV/atom. The total energy comes out at -27.388 eV/cell. For the volume, the calculation gives 14.757 Å³/atom.

Lattice parameters (Å, degrees): 4.537 4.537 6.464 103.91 103.91 34.97
Atoms (fractional coordinates):
Ti 0.000 0.000 0.000
Cu 0.384 0.384 0.608
Cu 0.616 0.616 0.392
Pd 0.309 0.309 0.200
Pd 0.691 0.691 0.800

Hf3P4PbN12 | PBE | optimized geometry

Results
As for the density of states at the Fermi level: 0.243 states/eV per atom. The total energy comes out at -165.766 eV/cell. For the volume, the calculation gives 13.425 Å³/atom.

Lattice parameters (Å, degrees): 6.730 6.730 6.730 104.65 104.65 104.65
Atoms (fractional coordinates):
Hf 0.000 0.555 0.445
Hf 0.445 0.000 0.555
Hf 0.555 0.445 0.000
P 0.052 0.500 0.948
P 0.500 0.500 0.500
P 0.500 0.948 0.052
P 0.948 0.052 0.500
Pb 0.000 0.000 0.000
N 0.033 0.629 0.782
N 0.095 0.905 0.500
N 0.218 0.371 0.967
N 0.352 0.648 0.500
N 0.371 0.967 0.218
N 0.500 0.095 0.905
N 0.500 0.352 0.648
N 0.629 0.782 0.033
N 0.648 0.500 0.352
N 0.782 0.033 0.629
N 0.905 0.500 0.095
N 0.967 0.218 0.371

TiInCu3 | PBE | optimized geometry

Results
As for the density of states at the Fermi level: 0.886 states/eV per atom. For the formation energy from the elements, the calculation gives 0.99 eV/atom. The total energy comes out at -17.966 eV/cell. For the volume, the calculation gives 21.019 Å³/atom.

Lattice parameters (Å, degrees): 4.719 4.719 4.719 90.00 90.00 90.00
Atoms (fractional coordinates):
Ti 0.000 0.000 0.000
In 0.500 0.500 0.500
Cu 0.000 0.000 0.500
Cu 0.000 0.500 0.000
Cu 0.500 0.000 0.000

ReSe5 | PBE | optimized geometry

Results
As for the density of states at the Fermi level: 0.251 states/eV per atom. The total energy comes out at -28.745 eV/cell. For the volume, the calculation gives 26.125 Å³/atom.

Lattice parameters (Å, degrees): 7.731 7.731 6.894 113.56 113.56 24.64
Atoms (fractional coordinates):
Re 0.000 0.000 0.000
Se 0.374 0.374 0.765
Se 0.379 0.379 0.118
Se 0.622 0.622 0.330
Se 0.625 0.625 0.985
Se 0.999 0.999 0.613